Record 1
VASP calculation (PBE-GGA) on a relaxed structure of HOs2F.

```
HOs2F
1.0
-2.3462 2.3462 4.1520
2.3462 -2.3462 4.1520
2.3462 2.3462 -4.1520
H Os F
2 4 2
direct
0.0000 0.0000 0.0000
0.7500 0.2500 0.5000
0.0203 0.6250 0.8953
0.3750 0.2703 0.3953
0.7297 0.1250 0.1047
0.8750 0.9797 0.6047
0.2500 0.7500 0.5000
0.5000 0.5000 0.0000
```

V: 11.43 Å³/atom
density: 14.55 g cm⁻³
energy: -6.33 eV per atom


Record 2
VASP calculation (PBE-GGA) on a relaxed structure of HOs2PbF.

```
HOs2PbF
1.0
3.6483 0.0000 0.0000
0.0000 3.6483 0.0000
0.0000 0.0000 5.8369
H Os Pb F
1 2 1 1
direct
0.0000 0.0000 0.0000
0.0000 0.5000 0.0000
0.5000 0.0000 0.0000
0.0000 0.0000 0.5000
0.5000 0.5000 0.5000
```

V: 15.54 Å³/atom
density: 12.99 g cm⁻³
energy: -5.93 eV per atom


Record 3
VASP calculation (PBE-GGA) on a relaxed structure of Rb2HOsF6.

```
Rb2HOsF6
1.0
-3.1359 3.1359 4.5437
3.1359 -3.1359 4.5437
3.1359 3.1359 -4.5437
Rb H Os F
2 1 1 6
direct
0.2500 0.7500 0.5000
0.7500 0.2500 0.5000
0.0000 0.0000 0.0000
0.5000 0.5000 0.0000
0.2782 0.2782 0.5565
0.2782 0.7218 0.0000
0.2805 0.2805 0.0000
0.7195 0.7195 0.0000
0.7218 0.2782 0.0000
0.7218 0.7218 0.4435
```

V: 17.87 Å³/atom
density: 4.42 g cm⁻³
energy: -4.57 eV per atom


Record 4
VASP calculation (PBE-GGA) on a relaxed structure of HOs2SF.

```
HOs2SF
1.0
4.0680 0.0000 0.0000
0.0000 4.0680 0.0000
0.0000 0.0000 4.7431
H Os S F
1 2 1 1
direct
0.0000 0.0000 0.0000
0.0000 0.5000 0.5000
0.5000 0.0000 0.5000
0.5000 0.5000 0.0000
0.5000 0.5000 0.5000
```

V: 15.70 Å³/atom
density: 9.15 g cm⁻³
energy: -4.23 eV per atom


Record 5
VASP calculation (PBE-GGA) on a relaxed structure of PHF4.

```
PHF4
1.0
4.5959 0.0000 0.0000
0.0000 8.9141 0.0000
-1.0401 0.0000 8.3575
P H F
4 4 16
direct
0.0934 0.1527 0.2307
0.0934 0.3473 0.7307
0.9066 0.6527 0.2693
0.9066 0.8473 0.7693
0.1516 0.6040 0.3711
0.1516 0.8960 0.8711
0.8484 0.1040 0.1289
0.8484 0.3960 0.6289
0.1240 0.7177 0.1458
0.1240 0.7823 0.6458
0.2304 0.1872 0.7182
0.2304 0.3128 0.2182
0.2532 0.0519 0.3667
0.2532 0.4481 0.8667
0.3064 0.0877 0.1049
0.3064 0.4123 0.6049
0.6936 0.5877 0.3951
0.6936 0.9123 0.8951
0.7468 0.5519 0.1333
0.7468 0.9481 0.6333
0.7696 0.6872 0.7818
0.7696 0.8128 0.2818
0.8760 0.2177 0.3542
0.8760 0.2823 0.8542
```

V: 14.27 Å³/atom
density: 2.09 g cm⁻³
energy: -4.80 eV per atom


Record 6
VASP calculation (PBE-GGA) on a relaxed structure of PHF.

```
PHF
1.0
3.8787 -1.3503 0.0000
3.8787 1.3503 0.0000
-1.5522 0.0000 4.2884
P H F
1 1 1
direct
0.0000 0.0000 0.0000
0.8109 0.8109 0.8050
0.9628 0.9628 0.3347
```

V: 14.97 Å³/atom
density: 1.88 g cm⁻³
energy: -4.32 eV per atom


Record 7
VASP calculation (PBE-GGA) on a relaxed structure of PHF.

```
PHF
1.0
3.4812 0.0000 0.0000
-0.0552 5.1193 0.0000
-0.0338 -0.7799 5.3272
P H F
2 2 2
direct
0.0000 0.0000 0.0000
0.4974 0.7686 0.1085
0.0032 0.2205 0.8702
0.5017 0.8944 0.3617
0.0056 0.2128 0.2707
0.9938 0.8104 0.7115
```

V: 15.82 Å³/atom
density: 1.78 g cm⁻³
energy: -4.50 eV per atom


Record 8
VASP calculation (PBE-GGA) on a relaxed structure of PH4F.

```
PH4F
1.0
4.7171 0.0000 0.0000
0.0000 8.4978 0.0000
-4.6057 0.0000 7.0028
P H F
4 16 4
direct
0.1986 0.1776 0.2219
0.1986 0.3224 0.7219
0.8014 0.6776 0.2781
0.8014 0.8224 0.7781
0.1093 0.6062 0.4160
0.1093 0.8938 0.9160
0.3144 0.1865 0.6791
0.3144 0.3135 0.1791
0.3618 0.1334 0.4147
0.3618 0.3666 0.9147
0.4014 0.0733 0.1872
0.4014 0.4267 0.6872
0.5986 0.5733 0.3128
0.5986 0.9267 0.8128
0.6382 0.6334 0.0853
0.6382 0.8666 0.5853
0.6856 0.6865 0.8209
0.6856 0.8135 0.3209
0.8907 0.1062 0.0840
0.8907 0.3938 0.5840
0.0512 0.6915 0.7343
0.0512 0.8085 0.2343
0.9488 0.1915 0.7657
0.9488 0.3085 0.2657
```

V: 11.70 Å³/atom
density: 1.28 g cm⁻³
energy: -3.94 eV per atom